Entry 1:
Entry from Alexandria: a relaxed PmGa3IrPt crystal (PBE).

The structure in POSCAR format:
```
PmGa3IrPt
1.0
5.6302 0.0000 0.0000
0.0000 8.0960 0.0000
0.0000 -4.0480 5.4901
Ga Pt Pm Ir
6 2 2 2
Cartesian
0.0000 5.9635 0.0000
2.8151 2.1325 0.0000
4.2227 4.0480 3.4460
1.4076 0.0000 2.0441
0.0000 2.1325 0.0000
2.8151 5.9635 0.0000
1.4076 4.0480 5.0260
4.2227 0.0000 0.4641
4.2227 0.0000 3.2980
1.4076 4.0480 2.1921
4.2227 4.0480 0.9956
1.4076 0.0000 4.4945
```

Output
Calculated volume = 20.85 Å³/atom
Energy relative to the elements = -0.47 eV/atom
Energy = -5.263 eV per atom
Density of states at the Fermi level = 4.8 states/eV/cell

***

Entry 2:
Entry from Alexandria: a relaxed NdDySc2 crystal (PBE).

The structure in POSCAR format:
```
NdDySc2
1.0
3.4565 0.0000 0.0000
1.7283 2.9934 0.0000
1.7283 0.9978 11.0078
Dy Nd Sc
1 1 2
Cartesian
3.4565 1.9956 5.5039
0.0000 0.0000 0.0000
1.7283 0.9978 2.7855
5.1848 2.9934 8.2223
```

Output
Calculated volume = 28.47 Å³/atom
Energy relative to the elements = 0.06 eV/atom
Energy = -5.444 eV per atom
Density of states at the Fermi level = 5.1 states/eV/cell

***

Entry 3:
Entry from Alexandria: a relaxed AcLaC crystal (PBE).

The structure in POSCAR format:
```
AcLaC
1.0
3.8277 0.0000 0.0000
-1.9139 3.3149 0.0000
0.0000 0.0000 6.9893
Ac C La
1 1 1
Cartesian
0.0000 0.0000 0.8054
1.9139 1.1050 2.4170
0.0000 2.2099 3.7669
```

Output
Calculated volume = 29.56 Å³/atom
Energy relative to the elements = -0.02 eV/atom
Energy = -6.107 eV per atom
Density of states at the Fermi level = 2.0 states/eV/cell

***

Entry 4:
Entry from Alexandria: a relaxed Nd3DySc2Te6 crystal (PBE).

The structure in POSCAR format:
```
Nd3DySc2Te6
1.0
-0.4924 -0.9203 4.1905
-6.5597 -5.5679 -1.9935
8.1590 -4.9156 -2.3462
Dy Sc Nd Te
1 2 3 6
Cartesian
-0.2462 -0.4602 2.0953
0.6482 -7.7653 0.5960
0.4588 -3.6386 -0.7452
-3.5260 -3.2441 1.0985
-2.8704 -6.3533 -1.7326
3.9774 -5.0505 1.5834
2.5885 -9.9405 0.3462
1.7392 -2.8006 1.8145
2.3395 -5.9253 -1.0265
-1.4815 -1.4633 -0.4954
-1.2325 -5.4785 0.8773
-0.6322 -8.6032 -1.9637
```

Output
Calculated volume = 29.42 Å³/atom
Energy = -5.489 eV per atom
Density of states at the Fermi level = 6.7 states/eV/cell
Raw formation energy = -1.287 eV per atom